Run 1
A relaxed NaIn2Rh2 crystal, computed with PBE.

Size of the total moment = 0.00 Bohr magnetons per cell
Density of states at the Fermi level = 2.02 states/eV/f.u.
SG = P4/mbm (127)

Structure (POSCAR):
```
NaIn2Rh2
1.0
-3.373 -1.352 6.891
4.313 -6.432 0.849
2.213 1.670 1.411
Na Rh In
2 4 4
Cartesian
0.000 0.000 0.000 Na
0.470 -3.892 3.870 Na
2.497 -6.034 3.226 Rh
-0.156 -5.269 6.481 Rh
-1.557 -1.751 4.514 Rh
1.096 -2.515 1.258 Rh
3.411 -3.607 2.349 In
2.522 -5.473 5.951 In
-0.258 -2.508 6.802 In
0.630 -0.641 3.199 In
```

=====

Run 2
A relaxed NaIn2Rh2 crystal, computed with PBE.

Size of the total moment = 0.00 Bohr magnetons per cell
Density of states at the Fermi level = 3.18 states/eV/f.u.
SG = I4/mmm (139)

Structure (POSCAR):
```
NaIn2Rh2
1.0
-3.031 2.997 -1.392
-2.711 -1.176 3.372
-0.569 4.714 4.168
Na Rh In
1 2 2
Cartesian
0.000 0.000 0.000 Na
-2.345 1.780 1.717 Rh
-3.967 4.754 4.431 Rh
-3.236 4.311 1.883 In
-3.076 2.224 4.265 In
```

=====

What should be chosen as the least stable of them? Choose run 2.

=====

Run 1
A relaxed NaIn3Ru crystal, computed with PBE.

Size of the total moment = 2.37 Bohr magnetons per cell
Density of states at the Fermi level = 5.72 states/eV/f.u.
SG = Pm-3m (221)

Structure (POSCAR):
```
NaIn3Ru
1.0
5.251 0.000 0.000
0.000 5.251 0.000
0.000 0.000 5.251
Ru Na In
1 1 3
Cartesian
2.625 2.625 2.625 Ru
0.000 0.000 0.000 Na
0.000 2.625 0.000 In
0.000 0.000 2.625 In
2.625 0.000 0.000 In
```

=====

Run 2
A relaxed NaIn3Ru crystal, computed with PBE.

Size of the total moment = 0.00 Bohr magnetons per cell
Density of states at the Fermi level = 1.50 states/eV/f.u.
SG = Pm-3m (221)

Structure (POSCAR):
```
NaIn3Ru
1.0
-3.258 3.913 0.993
-1.412 -2.300 4.431
3.782 2.513 2.510
Ru Na In
1 1 3
Cartesian
0.000 0.000 0.000 Ru
-0.444 2.063 3.966 Na
-0.706 -1.150 2.215 In
1.891 1.256 1.255 In
-1.629 1.956 0.496 In
```

=====

What should be chosen as the least stable of them? Choose run 1.

=====

Run 1
A relaxed Na2InS crystal, computed with PBE.

Size of the total moment = 0.00 Bohr magnetons per cell
Density of states at the Fermi level = 1.58 states/eV/f.u.
SG = Fm-3m (225)

Structure (POSCAR):
```
Na2InS
1.0
0.087 -3.298 3.970
2.286 1.349 4.427
-2.854 0.938 4.198
Na S In
2 1 1
Cartesian
-0.120 -0.253 3.149 Na
-0.361 -0.758 9.446 Na
0.000 0.000 0.000 S
-0.241 -0.506 6.298 In
```

=====

Run 2
A relaxed Na2InS crystal, computed with PBE.

Size of the total moment = 0.00 Bohr magnetons per cell
Density of states at the Fermi level = 0.62 states/eV/f.u.
SG = I-42d (122)

Structure (POSCAR):
```
Na2InS
1.0
4.780 0.000 0.000
0.000 4.780 0.000
2.390 2.390 9.517
Na S In
4 2 2
Cartesian
3.299 1.195 2.379 Na
1.481 3.585 2.379 Na
3.585 3.871 7.138 Na
5.975 5.689 7.138 Na
2.390 2.390 0.000 S
2.390 4.780 4.758 S
0.000 0.000 0.000 In
4.780 2.390 4.758 In
```

=====

What should be chosen as the least stable of them? Choose run 2.

=====

Run 1
A relaxed Na3InS crystal, computed with PBE.

Size of the total moment = 0.00 Bohr magnetons per cell
Density of states at the Fermi level = 6.01 states/eV/f.u.
SG = Pm-3m (221)

Structure (POSCAR):
```
Na3InS
1.0
5.691 0.000 0.000
0.000 5.691 0.000
0.000 0.000 5.691
Na S In
3 1 1
Cartesian
0.000 2.845 0.000 Na
0.000 0.000 2.845 Na
2.845 0.000 0.000 Na
2.845 2.845 2.845 S
0.000 0.000 0.000 In
```

=====

Run 2
A relaxed Na3InS crystal, computed with PBE.

Size of the total moment = 0.00 Bohr magnetons per cell
Density of states at the Fermi level = 3.31 states/eV/f.u.
SG = Pm-3m (221)

Structure (POSCAR):
```
Na3InS
1.0
-2.735 -1.142 -4.451
0.388 -5.219 1.101
-4.579 0.240 2.752
Na S In
3 1 1
Cartesian
0.194 -2.609 0.550 Na
-2.289 0.120 1.376 Na
-1.368 -0.571 -2.226 Na
0.000 0.000 0.000 S
-3.463 -3.061 -0.299 In
```

=====

What should be chosen as the least stable of them? Choose run 1.

=====

Run 1
A relaxed NaIn3S crystal, computed with PBE.

Size of the total moment = 0.00 Bohr magnetons per cell
Density of states at the Fermi level = 0.98 states/eV/f.u.
SG = Pm-3m (221)

Structure (POSCAR):
```
NaIn3S
1.0
5.511 0.000 0.000
0.000 5.511 0.000
0.000 0.000 5.511
Na S In
1 1 3
Cartesian
0.000 0.000 0.000 Na
2.755 2.755 2.755 S
0.000 2.755 0.000 In
0.000 0.000 2.755 In
2.755 0.000 0.000 In
```

=====

Run 2
A relaxed NaIn3S crystal, computed with PBE.

Size of the total moment = 0.00 Bohr magnetons per cell
Density of states at the Fermi level = 2.84 states/eV/f.u.
SG = Pm-3m (221)

Structure (POSCAR):
```
NaIn3S
1.0
-1.699 3.303 -4.093
-5.107 -0.008 2.114
1.257 4.432 3.055
Na S In
1 1 3
Cartesian
-2.774 3.863 0.538 Na
0.000 0.000 0.000 S
-2.553 -0.004 1.057 In
0.629 2.216 1.527 In
-0.850 1.652 -2.046 In
```

=====

What should be chosen as the least stable of them? Choose run 1.

=====

Run 1
A relaxed NaInS crystal, computed with PBE.

Size of the total moment = 0.00 Bohr magnetons per cell
Density of states at the Fermi level = 1.16 states/eV/f.u.
SG = Fddd (70)

Structure (POSCAR):
```
NaInS
1.0
-3.039 -6.367 0.143
-0.217 -2.432 -6.621
7.695 1.523 4.096
Na S In
4 4 4
Cartesian
-0.062 -5.141 -3.017 Na
4.502 -2.134 0.637 Na
-0.051 -3.880 0.279 Na
3.080 -5.364 0.722 Na
0.904 -6.271 -0.713 S
-2.238 -6.048 -4.453 S
2.125 -2.973 1.715 S
-1.018 -2.750 -2.025 S
1.463 -1.327 -1.441 In
5.202 -1.781 -2.703 In
1.354 -2.543 -4.751 In
3.683 -4.965 -2.631 In
```

=====

Run 2
A relaxed NaInS crystal, computed with PBE.

Size of the total moment = 0.00 Bohr magnetons per cell
Density of states at the Fermi level = 0.00 states/eV/f.u.
SG = P3m1 (156)

Structure (POSCAR):
```
NaInS
1.0
-5.054 -1.744 -2.486
-0.155 -3.047 2.452
-1.663 3.400 0.996
Na S In
1 1 1
Cartesian
-2.554 0.770 0.796 Na
-5.009 -1.729 -2.464 S
-4.362 -2.176 0.145 In
```

=====

What should be chosen as the least stable of them? Choose run 1.